A plane-wave DFT calculation with SCAN was carried out for a crystal of ZnFeTe2 relaxed with PBEsol.

ρ = 6.973 g/cm³
E_form (uncorrected) = 136 kJ/mol of formula units
SG = Immm (71)
Raw total energy = -104.74 eV/f.u.

```
ZnFeTe2
1.0
-3.092 0.257 2.017
0.073 -3.554 3.960
0.978 2.543 4.571
Fe Te Zn
1 2 1
Cartesian
0.525 -0.506 4.265
-0.070 -0.668 6.769
-1.972 -0.086 3.779
-1.546 0.129 1.009
```

=====

A plane-wave DFT calculation with SCAN was carried out for a crystal of Na2HgBi2 relaxed with PBEsol.

ρ = 7.197 g/cm³
E_form = -1.32 eV per formula unit
SG = P4/mbm (127)
Raw total energy = -235.08 eV/f.u.

```
Na2HgBi2
1.0
-2.640 3.940 1.791
-5.697 -4.816 2.199
3.410 -0.867 6.936
Na Bi Hg
4 4 2
Cartesian
0.012 0.609 5.854
-2.244 -1.949 8.158
-4.938 -2.352 5.072
-2.682 0.206 2.768
0.890 -2.460 6.725
-2.686 -4.683 6.346
-3.176 -3.223 2.410
0.399 -1.000 2.789
0.000 0.000 0.000
-1.143 -2.842 4.567
```

=====

A plane-wave DFT calculation with SCAN was carried out for a crystal of BP2N2Cl7 relaxed with PBEsol.

ρ = 1.947 g/cm³
E_form (uncorrected) = -976 kJ/mol of formula units
SG = P2_1/c (14)
Raw total energy = -112.77 eV/f.u.

```
BP2N2Cl7
1.0
8.379 0.000 0.000
0.000 9.655 -0.194
0.000 3.918 14.632
B P N Cl
4 8 8 28
Cartesian
3.563 10.762 6.840
0.626 7.893 14.254
4.816 2.811 7.598
7.753 5.680 0.184
1.058 4.859 2.332
4.403 0.679 2.373
5.247 1.927 4.887
3.976 12.893 12.065
3.132 11.646 9.551
7.322 8.713 12.106
8.166 7.466 9.592
0.214 6.107 4.846
4.550 2.038 6.290
8.019 8.825 13.509
0.360 4.748 0.929
4.007 12.495 10.567
3.830 11.534 8.148
4.372 1.078 3.871
0.182 5.709 3.348
8.197 7.864 11.090
1.282 2.787 9.656
2.707 9.415 1.736
2.369 8.007 13.634
3.827 11.372 13.323
6.955 10.543 11.389
6.729 6.203 9.063
4.553 2.201 1.115
1.424 3.030 3.049
2.765 9.816 10.268
6.558 2.697 8.217
2.908 5.656 2.243
2.539 4.501 12.788
5.840 9.072 1.650
5.471 7.917 12.195
4.288 4.595 7.543
5.614 3.756 4.170
1.482 6.546 9.149
6.010 5.566 0.804
5.672 4.158 12.702
7.098 10.785 4.781
1.651 7.369 5.375
8.016 8.987 8.334
0.099 6.109 14.308
6.897 7.027 5.289
1.821 10.875 6.221
0.363 4.585 6.104
8.281 7.463 0.130
4.091 8.978 6.895
```

=====

A plane-wave DFT calculation with SCAN was carried out for a crystal of ZrInTc2 relaxed with PBEsol.

ρ = 9.852 g/cm³
E_form = -0.61 eV per formula unit
SG = Imm2 (44)
Raw total energy = -134.81 eV/f.u.

```
ZrInTc2
1.0
3.239 0.000 0.000
0.000 4.464 0.000
-1.620 -2.232 4.687
In Tc Zr
1 2 1
Cartesian
1.620 2.232 2.238
1.620 0.000 4.553
0.000 0.000 2.460
1.620 0.000 0.122
```

=====

A plane-wave DFT calculation with SCAN was carried out for a crystal of Sm2Si3Pd relaxed with PBEsol.

ρ = 6.942 g/cm³
E_form (uncorrected) = -530 kJ/mol of formula units
SG = Imm2 (44)
Raw total energy = -157.19 eV/f.u.

```
Sm2Si3Pd
1.0
3.947 0.000 0.000
0.000 4.174 0.000
-1.974 -2.087 7.135
Si Pd Sm
3 1 2
Cartesian
0.000 0.000 4.221
0.000 0.000 6.563
1.974 0.000 2.917
1.974 0.000 0.564
1.974 2.087 5.271
0.000 2.087 1.870
```

=====

A plane-wave DFT calculation with SCAN was carried out for a crystal of CdSiO3 relaxed with PBEsol.

ρ = 4.899 g/cm³
E_form (uncorrected) = -1141 kJ/mol of formula units
SG = P2_1/c (14)
Raw total energy = -70.95 eV/f.u.

```
CdSiO3
1.0
-2.482 -6.512 -0.602
6.676 -2.386 -1.709
3.322 -1.211 14.667
Cd Si O
12 12 36
Cartesian
4.963 -1.861 2.576
2.197 -2.637 0.675
2.002 -6.248 4.739
-0.795 -7.040 2.879
5.514 -3.861 7.618
5.293 -7.451 3.929
5.581 -3.873 -0.158
1.935 -6.236 12.514
2.554 -8.249 9.780
2.223 -2.658 8.427
5.319 -7.472 11.682
8.311 -3.069 9.477
3.509 -3.035 5.175
6.367 -4.049 4.441
6.821 -6.495 8.426
4.008 -7.075 7.181
0.665 -5.876 0.280
3.466 -5.284 1.526
4.487 -7.234 -0.700
6.851 -4.234 12.076
3.029 -2.875 13.057
4.050 -4.825 10.830
0.695 -3.614 3.930
1.150 -6.060 7.915
2.765 -6.187 7.733
8.097 -5.129 11.525
5.554 -5.084 11.496
1.963 -5.025 0.860
1.031 -4.703 8.858
4.752 -3.922 4.623
3.630 -2.969 -0.989
0.621 -7.331 8.808
6.895 -2.779 3.549
0.498 -5.918 6.454
3.930 -8.505 0.163
7.402 -4.998 8.647
3.166 -4.228 12.116
6.740 -7.577 9.634
2.202 -3.872 4.604
0.777 -2.532 2.722
0.114 -5.111 3.709
0.644 -7.327 1.043
5.315 -6.237 7.752
-0.581 -4.980 0.831
6.872 -2.782 11.313
3.452 -6.315 10.614
4.125 -3.741 9.624
3.886 -7.140 13.345
3.993 -8.539 7.906
3.392 -6.369 2.733
4.065 -3.794 1.743
4.350 -5.881 0.240
3.586 -1.604 12.193
7.180 -8.273 12.488
6.485 -5.406 3.499
7.018 -4.191 5.902
3.901 -7.090 5.568
0.336 -1.836 -0.132
3.523 -1.570 4.450
3.615 -3.019 6.788
```

=====

A plane-wave DFT calculation with SCAN was carried out for a crystal of Zr2Be2Pd relaxed with PBEsol.

ρ = 6.840 g/cm³
E_form = -2.35 eV per formula unit
SG = P4/mbm (127)
Raw total energy = -105.23 eV/f.u.

```
Zr2Be2Pd
1.0
3.707 0.000 0.000
0.000 6.340 0.000
0.000 0.000 6.340
Be Zr Pd
4 4 2
Cartesian
0.000 2.391 5.561
0.000 5.561 3.949
0.000 3.949 0.779
0.000 0.779 2.391
1.853 1.097 4.267
1.853 4.267 5.243
1.853 5.243 2.073
1.853 2.073 1.097
0.000 0.000 0.000
0.000 3.170 3.170
```

=====

A plane-wave DFT calculation with SCAN was carried out for a crystal of ScMnAg2 relaxed with PBEsol.

ρ = 7.737 g/cm³
E_form = -0.65 eV per formula unit
SG = P4mm (99)
Raw total energy = -95.88 eV/f.u.

```
ScMnAg2
1.0
-0.642 3.168 0.834
-0.393 -0.918 3.185
5.924 0.937 1.000
Ag Mn Sc
2 1 1
Cartesian
0.068 0.011 0.012
1.024 1.368 2.270
2.869 0.454 0.484
3.891 1.822 2.754
```

=====

A plane-wave DFT calculation with SCAN was carried out for a crystal of Tl2NiTe relaxed with PBEsol.

ρ = 10.913 g/cm³
E_form (uncorrected) = 121 kJ/mol of formula units
SG = P4/mmm (123)
Raw total energy = -196.88 eV/f.u.

```
Tl2NiTe
1.0
3.210 0.082 0.000
-0.080 3.210 0.000
0.000 0.000 8.780
Ni Te Tl
1 1 2
Cartesian
1.565 1.646 4.390
1.565 1.646 0.000
0.000 0.000 2.782
0.000 0.000 5.998
```

=====

A plane-wave DFT calculation with SCAN was carried out for a crystal of KCa2Fe relaxed with PBEsol.

ρ = 2.302 g/cm³
E_form = 2.82 eV per formula unit
SG = P4/mmm (123)
Raw total energy = -42.96 eV/f.u.

```
KCa2Fe
1.0
-2.473 -2.345 2.619
3.124 -4.332 -0.929
3.146 1.369 4.197
Ca Fe K
2 1 1
Cartesian
1.573 0.684 2.099
1.562 -2.166 -0.464
1.898 -2.654 2.944
-1.237 -1.172 1.309
```

=====

A plane-wave DFT calculation with SCAN was carried out for a crystal of CoTcNi2 relaxed with PBEsol.

ρ = 10.311 g/cm³
E_form = 0.53 eV per formula unit
SG = I4/mmm (139)
Raw total energy = -84.18 eV/f.u.

```
CoTcNi2
1.0
3.465 0.000 0.000
0.000 3.465 0.000
-1.732 -1.732 3.680
Ni Co Tc
2 1 1
Cartesian
1.732 0.000 1.840
0.000 1.732 1.840
1.732 1.732 0.000
0.000 0.000 0.000
```

=====

A plane-wave DFT calculation with SCAN was carried out for a crystal of SiIrOs2 relaxed with PBEsol.

ρ = 18.219 g/cm³
E_form (uncorrected) = -2 kJ/mol of formula units
SG = Pmm2 (25)
Raw total energy = -224.90 eV/f.u.

```
SiIrOs2
1.0
-1.266 1.595 1.847
1.776 -1.766 2.742
4.010 3.546 -0.314
Ir Os Si
1 2 1
Cartesian
3.174 2.496 2.066
0.085 0.075 -0.007
1.206 0.756 2.220
2.059 1.821 -0.161
```

=====

A plane-wave DFT calculation with SCAN was carried out for a crystal of Ba2ScRh relaxed with PBEsol.

ρ = 6.358 g/cm³
E_form = 1.55 eV per formula unit
SG = P4/mmm (123)
Raw total energy = -125.56 eV/f.u.

```
Ba2ScRh
1.0
-3.894 0.774 -3.201
-0.280 -4.579 -0.767
-2.990 -0.406 3.540
Ba Rh Sc
2 1 1
Cartesian
-1.495 -0.203 1.770
-0.140 -2.290 -0.383
-3.582 -2.105 -0.214
-1.947 0.387 -1.601
```

=====

A plane-wave DFT calculation with SCAN was carried out for a crystal of BaP2RuAu relaxed with PBEsol.

ρ = 6.369 g/cm³
E_form = 5.07 eV per formula unit
SG = P4/mmm (123)
Raw total energy = -159.26 eV/f.u.

```
BaP2RuAu
1.0
-3.820 2.308 -1.642
1.534 -0.632 -4.456
-2.871 -4.956 -0.285
Ru Au Ba P
1 1 1 2
Cartesian
-2.578 -1.640 -3.192
0.000 0.000 0.000
-1.436 -2.478 -0.143
0.767 -0.316 -2.228
-1.910 1.154 -0.821
```

=====

A plane-wave DFT calculation with SCAN was carried out for a crystal of Ba2WO5 relaxed with PBEsol.

ρ = 7.360 g/cm³
E_form (uncorrected) = -2237 kJ/mol of formula units
SG = Pnma (62)
Raw total energy = -203.13 eV/f.u.

```
Ba2WO5
1.0
5.712 0.000 0.000
0.000 7.389 0.000
0.000 0.000 11.515
Ba W O
8 4 20
Cartesian
1.428 2.399 10.548
4.284 4.990 0.967
1.428 6.093 6.724
4.284 1.296 4.791
4.284 3.526 8.225
1.428 3.862 3.291
4.284 7.221 9.048
1.428 0.168 2.467
4.284 1.312 0.755
1.428 6.077 10.760
4.284 5.006 5.002
1.428 2.383 6.513
5.665 6.093 4.431
2.809 1.296 7.084
2.903 2.398 1.326
0.047 4.991 10.189
0.047 1.296 7.084
2.903 6.093 4.431
2.809 4.991 10.189
5.665 2.398 1.326
1.428 1.651 4.709
4.284 5.738 6.806
1.428 5.345 1.048
4.284 2.043 10.467
2.856 0.000 0.000
0.000 0.000 0.000
0.000 3.694 5.758
2.856 3.694 5.758
4.284 0.179 2.252
1.428 7.209 9.263
4.284 3.874 3.506
1.428 3.515 8.009
```

=====

A plane-wave DFT calculation with SCAN was carried out for a crystal of Cs3RuC relaxed with PBEsol.

ρ = 4.626 g/cm³
E_form = 8.60 eV per formula unit
SG = Pm-3m (221)
Raw total energy = -149.75 eV/f.u.

```
Cs3RuC
1.0
-0.014 5.685 0.043
-0.547 -0.045 5.658
5.659 0.009 0.547
Cs Ru C
3 1 1
Cartesian
-0.273 -0.022 2.829
2.829 0.005 0.273
-0.007 2.842 0.022
0.000 0.000 0.000
2.549 2.825 3.124
```

=====

A plane-wave DFT calculation with SCAN was carried out for a crystal of BeInHg relaxed with PBEsol.

ρ = 9.753 g/cm³
E_form = 1.07 eV per formula unit
SG = I4mm (107)
Raw total energy = -104.83 eV/f.u.

```
BeInHg
1.0
3.050 0.000 0.000
0.000 3.050 0.000
-1.525 -1.525 5.938
Be Hg In
1 1 1
Cartesian
0.000 0.000 0.135
1.525 1.525 1.619
0.000 0.000 4.184
```

=====

A plane-wave DFT calculation with SCAN was carried out for a crystal of LiY3Pb relaxed with PBEsol.

ρ = 4.140 g/cm³
E_form = 1.01 eV per formula unit
SG = Pm-3m (221)
Raw total energy = -160.68 eV/f.u.

```
LiY3Pb
1.0
-1.750 5.036 2.226
-2.508 -2.809 4.382
4.902 0.361 3.037
Pb Y Li
1 3 1
Cartesian
0.000 0.000 0.000
-1.254 -1.404 2.191
2.451 0.180 1.519
-0.875 2.518 1.113
0.322 1.294 4.823
```

=====

A plane-wave DFT calculation with SCAN was carried out for a crystal of LaEuCd2 relaxed with PBEsol.

ρ = 7.527 g/cm³
E_form = -1.78 eV per formula unit
SG = Fm-3m (225)
Raw total energy = -159.43 eV/f.u.

```
LaEuCd2
1.0
5.439 0.000 0.000
2.719 4.710 0.000
2.719 1.570 4.441
Eu La Cd
1 1 2
Cartesian
0.000 0.000 0.000
5.439 3.140 2.220
2.719 1.570 1.110
8.158 4.710 3.331
```

=====

A plane-wave DFT calculation with SCAN was carried out for a crystal of ReTc2Sb relaxed with PBEsol.

ρ = 13.254 g/cm³
E_form (uncorrected) = 165 kJ/mol of formula units
SG = R3m (160)
Raw total energy = -176.77 eV/f.u.

```
ReTc2Sb
1.0
-0.768 -2.650 -0.888
0.787 -0.932 -2.629
7.330 -4.437 2.170
Re Sb Tc
1 1 2
Cartesian
3.770 -4.052 -0.630
1.812 -1.994 -0.349
7.249 -4.401 2.133
5.522 -6.019 -1.006
```

=====

A plane-wave DFT calculation with SCAN was carried out for a crystal of Ba2YTe relaxed with PBEsol.

ρ = 5.208 g/cm³
E_form (uncorrected) = -247 kJ/mol of formula units
SG = Amm2 (38)
Raw total energy = -146.75 eV/f.u.

```
Ba2YTe
1.0
4.445 0.000 0.000
0.000 5.221 0.000
-2.222 0.000 6.748
Ba Te Y
2 1 1
Cartesian
0.000 0.000 1.324
0.000 2.611 5.418
2.222 0.000 4.235
2.222 2.611 2.600
```

=====

A plane-wave DFT calculation with SCAN was carried out for a crystal of CdIrRh2 relaxed with PBEsol.

ρ = 14.284 g/cm³
E_form = 0.46 eV per formula unit
SG = Pmm2 (25)
Raw total energy = -168.60 eV/f.u.

```
CdIrRh2
1.0
2.744 0.000 0.000
0.000 3.829 0.000
0.000 0.000 5.647
Cd Ir Rh
1 1 2
Cartesian
0.000 0.000 2.795
1.372 1.914 4.377
0.000 0.000 5.615
1.372 1.914 1.331
```